This record from Alexandria describes an optimized crystal structure of Cs12K6Sb. The functional is GGA-PBE. Values from VASP.

Structure (Quantum ESPRESSO input):
```
&SYSTEM
  ibrav = 0, nat = 19, ntyp = 3
/
ATOMIC_SPECIES
K 39.10 K.upf
Cs 132.91 Cs.upf
Sb 121.76 Sb.upf
ATOMIC_POSITIONS angstrom
K -17.124 6.519 -5.465
K -6.495 0.072 -3.056
K -5.216 4.673 -1.575
K -18.736 3.173 -2.118
K -6.828 1.327 1.772
K -17.457 7.774 -0.637
Cs -18.782 1.839 -7.180
Cs -4.483 3.352 -6.606
Cs -9.262 3.981 -4.446
Cs -12.975 7.406 -2.845
Cs -19.468 4.494 2.913
Cs -7.852 -3.625 0.420
Cs -14.690 3.866 0.753
Cs -16.099 11.472 -4.113
Cs -14.348 2.491 -4.386
Cs -5.170 6.008 3.487
Cs -10.977 0.440 -0.848
Cs -9.604 5.355 0.693
Sb 0.000 0.000 0.000
CELL_PARAMETERS angstrom
-5.974 4.771 -9.686
-10.973 -5.599 0.705
-7.004 8.675 5.287
```

Results
raw formation energy: -0.06 eV per atom
magnetization: 0.00 μB per formula unit
final energy: -1.16 eV per atom
SG: R-3, No. 148